Record 1
ScTcPb3: relaxed, PBE-GGA.

abc: 5.541 5.541 5.541
angles: 90.00 90.00 90.00
Each line ends with the local moment (μB).
Sites, in units of the cell vectors:
Pb (0.000, 0.500, 0.000)  -0.01
Pb (0.000, 0.000, 0.500)  0.01
Pb (0.500, 0.000, 0.000)  -0.02
Sc (0.000, 0.000, 0.000)  0.05
Tc (0.500, 0.500, 0.500)  3.60

## Properties
SG: Pm-3m
Fermi-level density of states: 3.5 states/eV/f.u.
energy relative to the lowest polymorph listed for this composition: 567 meV/atom
ΔE_f: 1.1428 eV per atom
magnetic moment: 0.84 μB per atom

=====

Record 2
Sc2TcPb: relaxed, PBE-GGA.

abc: 9.369 9.369 9.369
angles: 20.29 20.29 20.29
Sites, in units of the cell vectors:
Pb (0.750, 0.750, 0.750)
Sc (0.986, 0.986, 0.986)
Sc (0.514, 0.514, 0.514)
Tc (0.250, 0.250, 0.250)

## Properties
SG: R-3m
Fermi-level density of states: 3.4 states/eV/f.u.
ΔE_f: -0.1555 eV per atom
magnetic moment: 0.00 μB per atom

=====

Record 3
Sc4TcPb: relaxed, PBE-GGA.

abc: 5.808 7.580 7.582
angles: 112.49 102.29 102.28
Sites, in units of the cell vectors:
Sc (0.851, 0.650, 0.798)
Sc (0.061, 0.941, 0.276)
Sc (0.649, 0.202, 0.349)
Sc (0.439, 0.724, 0.059)
Sc (0.561, 0.276, 0.941)
Sc (0.351, 0.798, 0.651)
Sc (0.939, 0.059, 0.724)
Sc (0.149, 0.350, 0.202)
Tc (0.250, 0.000, 0.000)
Tc (0.750, 0.000, 0.000)
Pb (0.750, 0.630, 0.370)
Pb (0.250, 0.370, 0.630)

## Properties
SG: C2/c
Fermi-level density of states: 6.3 states/eV/f.u.
energy relative to the lowest polymorph listed for this composition: 0 meV/atom
ΔE_f: -0.2871 eV per atom
magnetic moment: 0.00 μB per atom

=====

Record 4
ScTcPb4: relaxed, PBE-GGA.

abc: 6.265 6.265 6.265
angles: 60.00 60.00 60.00
Each line ends with the local moment (μB).
Sites, in units of the cell vectors:
Sc (0.750, 0.750, 0.750)  -0.33
Tc (0.000, 0.000, 0.000)  2.90
Pb (0.875, 0.375, 0.375)  -0.02
Pb (0.375, 0.375, 0.875)  -0.02
Pb (0.375, 0.875, 0.375)  -0.02
Pb (0.375, 0.375, 0.375)  -0.02

## Properties
SG: F-43m
Fermi-level density of states: 7.8 states/eV/f.u.
ΔE_f: 0.7876 eV per atom
magnetic moment: 0.43 μB per atom

=====

Record 5
ScTc3Pb: relaxed, PBE-GGA.

abc: 4.956 4.956 4.956
angles: 90.00 90.00 90.00
Each line ends with the local moment (μB).
Sites, in units of the cell vectors:
Pb (0.000, 0.000, 0.000)  -0.03
Sc (0.500, 0.500, 0.500)  -0.05
Tc (0.000, 0.500, 0.000)  1.20
Tc (0.000, 0.000, 0.500)  1.28
Tc (0.500, 0.000, 0.000)  0.85

## Properties
SG: Pm-3m
Fermi-level density of states: 7.1 states/eV/f.u.
energy relative to the lowest polymorph listed for this composition: 387 meV/atom
ΔE_f: 1.9905 eV per atom
magnetic moment: 0.71 μB per atom

=====

Record 6
Sc2TcPb: relaxed, PBE-GGA.

abc: 3.425 3.436 7.775
angles: 63.79 90.00 90.00
Sites, in units of the cell vectors:
Pb (0.500, 0.750, 0.750)
Sc (0.000, 0.960, 0.040)
Sc (0.000, 0.540, 0.460)
Tc (0.500, 0.250, 0.250)

## Properties
SG: Pmmm
Fermi-level density of states: 2.6 states/eV/f.u.
ΔE_f: -0.3278 eV per atom
magnetic moment: 0.00 μB per atom

=====

Record 7
ScTcPb: relaxed, PBE-GGA.

abc: 4.702 4.702 3.127
angles: 90.00 90.00 120.00
Sites, in units of the cell vectors:
Pb (0.000, 0.000, 0.939)
Sc (0.667, 0.333, 0.386)
Tc (0.333, 0.667, 0.675)

## Properties
SG: P3m1
Fermi-level density of states: 2.2 states/eV/f.u.
energy relative to the lowest polymorph listed for this composition: 274 meV/atom
ΔE_f: 0.1728 eV per atom
magnetic moment: 0.00 μB per atom

=====

Record 8
Sc2TcPb: relaxed, PBE-GGA.

abc: 7.538 4.640 3.708
angles: 89.98 60.56 128.01
Sites, in units of the cell vectors:
Pb (0.500, 0.500, 0.000)
Sc (0.000, 0.000, 0.000)
Sc (0.500, 0.000, 0.500)
Tc (0.000, 0.500, 0.500)

## Properties
SG: P4/mmm
Fermi-level density of states: 2.4 states/eV/f.u.
ΔE_f: -0.2136 eV per atom
magnetic moment: 0.00 μB per atom

=====

Record 9
ScTcPb: relaxed, PBE-GGA.

abc: 4.596 4.596 4.596
angles: 60.00 60.00 60.00
Sites, in units of the cell vectors:
Pb (0.000, 0.000, 0.000)
Sc (0.500, 0.500, 0.500)
Tc (0.250, 0.250, 0.250)

## Properties
SG: F-43m
Fermi-level density of states: 1.5 states/eV/f.u.
energy relative to the lowest polymorph listed for this composition: 355 meV/atom
ΔE_f: 0.2540 eV per atom
magnetic moment: 0.00 μB per atom

=====

Record 10
ScTcPb: relaxed, PBE-GGA.

abc: 5.323 5.323 5.323
angles: 141.36 141.36 55.80
Sites, in units of the cell vectors:
Pb (0.007, 0.007, 0.000)
Sc (0.320, 0.320, 0.000)
Tc (0.673, 0.673, 0.000)

## Properties
SG: I4mm
energy relative to the lowest polymorph listed for this composition: 0 meV/atom
ΔE_f: -0.1011 eV per atom
magnetic moment: 0.00 μB per atom

=====

Record 11
ScTc3Pb: relaxed, PBE-GGA.

abc: 4.705 4.705 4.705
angles: 90.00 90.00 90.00
Each line ends with the local moment (μB).
Sites, in units of the cell vectors:
Pb (0.500, 0.500, 0.500)  -0.01
Sc (0.000, 0.000, 0.000)  -0.08
Tc (0.000, 0.500, 0.000)  1.13
Tc (0.000, 0.000, 0.500)  1.14
Tc (0.500, 0.000, 0.000)  1.34

## Properties
SG: Pm-3m
Fermi-level density of states: 3.4 states/eV/f.u.
energy relative to the lowest polymorph listed for this composition: 0 meV/atom
ΔE_f: 1.6032 eV per atom
magnetic moment: 0.77 μB per atom

=====

Record 12
ScTiTcPb2: relaxed, PBE-GGA.

abc: 5.312 4.622 5.312
angles: 90.00 90.00 90.00
Each line ends with the local moment (μB).
Sites, in units of the cell vectors:
Pb (0.000, 0.000, 0.500)  -0.01
Pb (0.500, 0.000, 0.000)  0.00
Sc (0.500, 0.500, 0.500)  0.14
Tc (0.000, 0.000, 0.000)  -0.12
Ti (0.000, 0.500, 0.000)  0.46

## Properties
SG: P4/mmm
Fermi-level density of states: 5.9 states/eV/f.u.
ΔE_f: 0.5064 eV per atom
magnetic moment: 0.14 μB per atom

=====

Record 13
ScZnTc2Pb: relaxed, PBE-GGA.

abc: 4.711 4.877 4.711
angles: 90.00 90.00 90.00
Each line ends with the local moment (μB).
Sites, in units of the cell vectors:
Pb (0.000, 0.500, 0.000)  -0.02
Sc (0.500, 0.500, 0.500)  -0.23
Zn (0.000, 0.000, 0.000)  0.02
Tc (0.000, 0.000, 0.500)  1.56
Tc (0.500, 0.000, 0.000)  1.42

## Properties
SG: P4/mmm
Fermi-level density of states: 3.3 states/eV/f.u.
ΔE_f: 1.0939 eV per atom
magnetic moment: 0.59 μB per atom

=====

Record 14
Sc2TePb: relaxed, PBE-GGA.

abc: 5.359 5.359 5.359
angles: 131.59 115.27 84.80
Sites, in units of the cell vectors:
Pb (0.750, 0.250, 0.500)
Sc (0.004, 0.004, 0.000)
Sc (0.496, 0.496, 0.000)
Te (0.250, 0.750, 0.500)

## Properties
SG: Immm
Fermi-level density of states: 2.7 states/eV/f.u.
formation energy without anion corrections: -0.552 eV per atom
energy relative to the lowest polymorph listed for this composition: 215 meV/atom
magnetic moment: 0.00 μB per atom